# 1
DFT (GGA-PBE) results for a relaxed Ta2BeP crystal.

a b c (Å): 3.4399 3.4758 4.8762
angles (deg): 90.00 110.62 90.00
Closest atoms and distances in Å follow each position.
Space group Pm (No. 6)
Asymmetric unit:
Ta1 0.0000 0.0000 0.0000  4 Be 2.53-2.54, 3 P 2.59-2.61
Ta2 0.2953 0.5000 0.5932  3 Be 2.52-2.67, 4 P 2.56
Be1 0.5738 0.5000 0.1460  2 P 2.16
P1 0.7109 0.0000 0.4274  2 Be 2.16

Values from the calculation:
Size of the total moment   0.000 μB per atom
Calculated total energy   -35.3 eV per cell
Distance to the lowest polymorph of the same formula   24.3 meV per atom

# 2
DFT (GGA-PBE) results for a relaxed LiP2Rh2 crystal.

a b c (Å): 6.9880 6.9880 2.8527
angles (deg): 90.00 90.00 90.00
Closest atoms and distances in Å follow each position.
Space group P4/mbm (No. 127)
Asymmetric unit:
Li1 0.0000 0.0000 0.0000  4 P 2.65, 2 Li 2.85
P1 0.1526 0.3474 0.0000  6 Rh 2.47-2.51, 2 Li 2.65
Rh1 0.1435 0.6435 0.5000  6 P 2.47-2.51

Values from the calculation:
Size of the total moment   0.000 μB per atom
Calculated total energy   -59.4 eV per cell

# 3
DFT (GGA-PBE) results for a relaxed PaGe crystal.

a b c (Å): 3.5258 3.5258 3.5258
angles (deg): 90.00 90.00 90.00
Closest atoms and distances in Å follow each position.
Space group Pm-3m (No. 221)
Asymmetric unit:
Pa1 0.0000 0.0000 0.0000  8 Ge 3.05
Ge1 0.5000 0.5000 0.5000  8 Pa 3.05

Values from the calculation:
Size of the total moment   0.000 μB per atom
Calculated total energy   -14.8 eV per cell

# 4
DFT (GGA-PBE) results for a relaxed La2MnCd crystal.

a b c (Å): 3.7546 3.7546 8.0027
angles (deg): 90.00 90.00 90.00
Closest atoms and distances in Å follow each position.
Space group P4/mmm (No. 123)
Asymmetric unit:
La1 0.0000 0.0000 0.2304  4 Mn 3.23, 4 Cd 3.42
Mn1 0.5000 0.5000 0.0000  8 La 3.23
Cd1 0.5000 0.5000 0.5000  8 La 3.42, 4 Cd 3.75

Values from the calculation:
Size of the total moment   0.760 μB per atom
Calculated total energy   -20.0 eV per cell

# 5
DFT (GGA-PBE) results for a relaxed AsHSe2 crystal.

a b c (Å): 3.7563 4.1959 12.5500
angles (deg): 91.33 96.70 90.41
Closest atoms and distances in Å follow each position.
Space group P-1 (No. 2)
Asymmetric unit:
As1 0.1957 0.3770 0.3299  3 Se 2.43-2.55
H1 0.1303 0.8364 0.8752  1 Se 1.49
Se1 0.1717 0.3985 0.1362  1 H 1.49
Se2 0.3000 0.2467 0.6260  2 As 2.46-2.55

Values from the calculation:
Size of the total moment   0.000 μB per atom
Calculated total energy   -30.3 eV per cell
Distance to the lowest polymorph of the same formula   9.9 meV per atom

# 6
DFT (GGA-PBE) results for a relaxed SrCa2NbCd crystal.

a b c (Å): 5.7363 5.7363 5.4656
angles (deg): 90.00 90.00 90.00
Closest atoms and distances in Å follow each position.
Space group P4/mmm (No. 123)
Asymmetric unit:
Sr1 0.0000 0.0000 0.0000  2 Cd 2.73, 4 Ca 2.87
Ca1 0.0000 0.5000 0.0000  2 Sr 2.87
Nb1 0.5000 0.5000 0.5000  8 Ca 3.96, 4 Cd 4.06
Cd1 0.0000 0.0000 0.5000  2 Sr 2.73

Values from the calculation:
Size of the total moment   0.016 μB per atom
Calculated total energy   -8.2 eV per cell

# 7
DFT (GGA-PBE) results for a relaxed PuInCuRh crystal.

a b c (Å): 6.7365 6.7365 6.7365
angles (deg): 90.00 90.00 90.00
Closest atoms and distances in Å follow each position.
Space group F-43m (No. 216)
Asymmetric unit:
Pu1 0.0000 0.0000 0.0000  4 Rh 2.92, 4 Cu 2.92
In1 0.0000 0.0000 0.5000  4 Cu 2.92, 4 Rh 2.92
Cu1 0.2500 0.2500 0.7500  4 In 2.92, 4 Pu 2.92
Rh1 0.2500 0.2500 0.2500  4 In 2.92, 4 Pu 2.92

Values from the calculation:
Size of the total moment   1.290 μB per atom
Calculated total energy   -117.1 eV per cell

# 8
DFT (GGA-PBE) results for a relaxed Pu6As5O crystal.

a b c (Å): 7.0068 12.1426 6.9939
angles (deg): 90.00 109.74 90.00
Closest atoms and distances in Å follow each position.
Space group C2/m (No. 12)
Asymmetric unit:
Pu1 0.2257 0.0000 0.2605  1 O 2.66, 4 As 2.89-2.93
Pu2 0.2302 0.1536 0.7329  1 O 2.64, 4 As 2.86-2.89
As1 0.0000 0.1783 0.0000  6 Pu 2.87-2.97
As2 0.0000 0.3351 0.5000  6 Pu 2.89
As3 0.0000 0.5000 0.0000  6 Pu 2.86-3.06
O1 0.0000 0.0000 0.5000  6 Pu 2.64-2.66

Values from the calculation:
Size of the total moment   2.579 μB per atom
Energy relative to the elements, uncorrected   -1.207 eV/atom
Calculated total energy   -257.4 eV per cell